No. 1
BaPmPdAu | PBE-GGA | optimized geometry

The structure belongs to space group F-43m (No. 216); the cell edges are 7.588, 7.588 and 7.588 Å and the angles 90.00°, 90.00° and 90.00°. The asymmetric unit holds Ba at (0.000, 0.000, 0.000), Pm at (0.000, 0.000, 0.500), Pd at (0.250, 0.250, 0.750) and Au at (0.250, 0.250, 0.250).

Its total magnetization is 0.0 μB per formula unit. Its calculated volume is 109 Å³/f.u. Its formation enthalpy at 0 K is -534 meV/atom. Its electronic total energy is -4.320 eV/atom.

No. 2
SrCaSmLu | PBE-GGA | optimized geometry

The structure belongs to space group F-43m (No. 216); the cell edges are 8.432, 8.432 and 8.432 Å and the angles 90.00°, 90.00° and 90.00°. The asymmetric unit holds Sr at (0.000, 0.000, 0.000), Ca at (0.250, 0.250, 0.250), Sm at (0.000, 0.000, 0.500) and Lu at (0.250, 0.250, 0.750).

Its total magnetization is 0.0 μB per formula unit. Its calculated volume is 150 Å³/f.u. Its formation enthalpy at 0 K is 203 meV/atom. Its electronic total energy is -3.028 eV/atom.

No. 3
Li2PaIrO6 | PBE-GGA | optimized geometry

The structure belongs to space group R-3 (No. 148, hexagonal axes); the cell edges are 5.2278, 5.2278 and 15.1444 Å and the angles 90.00°, 90.00° and 120.00°. The asymmetric unit holds Li at (0.0000, 0.0000, 0.2037), Pa at (0.0000, 0.0000, 0.0000), Ir at (0.0000, 0.0000, 0.5000) and O at (0.0055, 0.6318, 0.2409).

Its total magnetization is 2.0 μB per formula unit. Its calculated volume is 119 Å³/f.u. Its electronic total energy is -7.295 eV/atom.